1.
CaAg2Ru PBE-GGA optimized geometry; energy relative to the elements = 302 meV/atom; space-group type = No. 25; raw total energy = -3.943 eV per atom; energy relative to the lowest polymorph listed for this composition = 0.070 eV per atom
1.0
-2.517 1.257 -1.273
-2.186 -3.117 1.243
-1.219 2.997 5.369
Ca Ag Ru
1 2 1
Cartesian
-0.624 1.534 2.748 Ca
-2.625 -0.257 1.191 Ag
-1.210 2.974 5.328 Ag
-3.292 1.381 4.126 Ru


2.
CaAgRu2 PBE-GGA optimized geometry; energy relative to the elements = 482 meV/atom; space-group type = No. 123; raw total energy = -5.369 eV per atom; energy relative to the lowest polymorph listed for this composition = 0.238 eV per atom
1.0
-0.799 1.378 -4.256
3.302 -1.747 -1.186
-1.996 -3.301 -0.694
Ag Ca Ru
1 1 2
Cartesian
1.251 -0.185 -2.721 Ag
-1.397 -0.962 -2.475 Ca
0.000 0.000 0.000 Ru
0.653 -2.524 -0.940 Ru


3.
CaAgRu2 PBE-GGA optimized geometry; energy relative to the elements = 748 meV/atom; space-group type = No. 225; raw total energy = -5.103 eV per atom; energy relative to the lowest polymorph listed for this composition = 0.504 eV per atom
1.0
-2.801 -2.799 -2.430
-4.188 -1.117 1.673
-3.831 1.711 -1.996
Ru Ag Ca
2 1 1
Cartesian
-8.115 -1.654 -2.065 Ru
-2.705 -0.551 -0.688 Ru
-5.410 -1.103 -1.376 Ag
0.000 0.000 0.000 Ca


4.
CaAg2Ru PBE-GGA optimized geometry; energy relative to the elements = 312 meV/atom; space-group type = No. 12; raw total energy = -3.932 eV per atom; energy relative to the lowest polymorph listed for this composition = 0.080 eV per atom
1.0
5.620 0.003 0.003
-2.756 4.898 0.003
0.459 0.786 2.703
Ag Ca Ru
2 1 1
Cartesian
0.000 0.000 0.000 Ag
1.432 2.450 0.003 Ag
3.039 0.395 1.353 Ca
-1.148 2.842 1.353 Ru


5.
CaAg2Ru PBE-GGA optimized geometry; energy relative to the elements = 344 meV/atom; space-group type = No. 216; raw total energy = -3.901 eV per atom; energy relative to the lowest polymorph listed for this composition = 0.112 eV per atom
1.0
4.757 0.000 0.000
2.379 4.120 0.000
2.379 1.373 3.884
Ag Ca Ru
2 1 1
Cartesian
0.000 0.000 0.000 Ag
2.379 1.373 0.971 Ag
4.757 2.747 1.942 Ca
7.136 4.120 2.913 Ru


6.
CaAgRu2 PBE-GGA optimized geometry; energy relative to the elements = 554 meV/atom; space-group type = No. 47; raw total energy = -5.297 eV per atom; energy relative to the lowest polymorph listed for this composition = 0.311 eV per atom
1.0
2.695 0.000 0.000
0.000 4.512 0.000
0.000 0.000 5.956
Ca Ru Ag
1 2 1
Cartesian
1.347 2.256 4.467 Ca
0.000 0.000 2.709 Ru
0.000 0.000 0.269 Ru
1.347 2.256 1.489 Ag


7.
Ca8Ag2Ru PBE-GGA optimized geometry; energy relative to the elements = -72 meV/atom; space-group type = No. 8; raw total energy = -2.890 eV per atom
1.0
-0.821 1.851 -6.261
-0.191 -8.228 -0.335
-6.277 3.581 3.954
Ru Ca Ag
1 8 2
Cartesian
-6.630 -4.258 2.316 Ru
-2.013 -4.191 -5.676 Ca
-1.175 -1.404 -3.389 Ca
-5.859 3.272 -2.966 Ca
-4.548 -4.511 0.214 Ca
-4.975 -1.623 -2.591 Ca
-6.089 -1.521 1.299 Ca
-2.286 -1.213 0.095 Ca
-2.671 1.500 -2.334 Ca
-2.694 -3.744 -2.165 Ag
-5.012 0.752 -0.532 Ag


8.
Ca4AgRu PBE-GGA optimized geometry; energy relative to the elements = 831 meV/atom; space-group type = No. 216; raw total energy = -2.525 eV per atom; energy relative to the lowest polymorph listed for this composition = 0.920 eV per atom
1.0
-5.805 1.710 1.194
-2.139 5.368 -2.156
-4.191 0.056 -4.525
Ru Ca Ag
1 4 1
Cartesian
-9.101 5.351 -4.115 Ru
-4.561 2.682 -2.062 Ca
-7.443 3.531 -1.469 Ca
-5.623 5.347 -3.133 Ca
-6.642 2.709 -4.309 Ca
0.000 0.000 0.000 Ag


energy relative to the elements of number 2 (CaAgRu2)? 482 meV/atom


energy relative to the elements of number 1 (CaAg2Ru)? 302 meV/atom


What did the first record say?
CaAg2Ru PBE-GGA optimized geometry; energy relative to the elements = 302 meV/atom; space-group type = No. 25; raw total energy = -3.943 eV per atom; energy relative to the lowest polymorph listed for this composition = 0.070 eV per atom
1.0
-2.517 1.257 -1.273
-2.186 -3.117 1.243
-1.219 2.997 5.369
Ca Ag Ru
1 2 1
Cartesian
-0.624 1.534 2.748 Ca
-2.625 -0.257 1.191 Ag
-1.210 2.974 5.328 Ag
-3.292 1.381 4.126 Ru


Please write out number 4 again, unchanged.
CaAg2Ru PBE-GGA optimized geometry; energy relative to the elements = 312 meV/atom; space-group type = No. 12; raw total energy = -3.932 eV per atom; energy relative to the lowest polymorph listed for this composition = 0.080 eV per atom
1.0
5.620 0.003 0.003
-2.756 4.898 0.003
0.459 0.786 2.703
Ag Ca Ru
2 1 1
Cartesian
0.000 0.000 0.000 Ag
1.432 2.450 0.003 Ag
3.039 0.395 1.353 Ca
-1.148 2.842 1.353 Ru